! ZnNi4O5 (PBE with a Hubbard U, optimized geometry); values from VASP
! Total DFT energy (no corrections) (eV/atom): -4.7368
! SG: C2/m (12)
&SYSTEM
  ibrav = 0, nat = 20, ntyp = 3
/
ATOMIC_SPECIES
Zn 65.41 Zn.upf
Ni 58.69 Ni.upf
O 16.00 O.upf
CELL_PARAMETERS angstrom
6.5442 -1.5009 0.0000
6.5442 1.5009 0.0000
-2.0683 0.0000 9.7439
ATOMIC_POSITIONS crystal
Zn 0.1001 0.1001 0.2999
Zn 0.8999 0.8999 0.7001
Ni 0.0000 0.0000 0.0000
Ni 0.2001 0.2001 0.6008
Ni 0.3000 0.3000 0.9008
Ni 0.3997 0.3997 0.1994
Ni 0.5000 0.5000 0.5000
Ni 0.6003 0.6003 0.8006
Ni 0.7000 0.7000 0.0992
Ni 0.7999 0.7999 0.3992
O 0.0512 0.0512 0.6496
O 0.1502 0.1502 0.9500
O 0.2511 0.2511 0.2484
O 0.3491 0.3491 0.5467
O 0.4508 0.4508 0.8526
O 0.5492 0.5492 0.1474
O 0.6509 0.6509 0.4533
O 0.7489 0.7489 0.7516
O 0.8498 0.8498 0.0500
O 0.9488 0.9488 0.3504



! ZnNiO2 (PBE with a Hubbard U, optimized geometry); values from VASP
! Total DFT energy (no corrections) (eV/atom): -4.4919
! SG: P-1 (2)
&SYSTEM
  ibrav = 0, nat = 16, ntyp = 3
/
ATOMIC_SPECIES
Zn 65.41 Zn.upf
Ni 58.69 Ni.upf
O 16.00 O.upf
CELL_PARAMETERS angstrom
2.9505 0.0000 0.0000
-1.4742 8.2975 0.0000
-0.0019 -2.0269 8.1880
ATOMIC_POSITIONS crystal
Zn 0.1399 0.2820 0.0572
Zn 0.1706 0.3398 0.6962
Zn 0.8294 0.6602 0.3038
Zn 0.8601 0.7180 0.9428
Ni 0.1853 0.3714 0.3684
Ni 0.4929 0.9870 0.2051
Ni 0.5071 0.0130 0.7949
Ni 0.8147 0.6286 0.6316
O 0.0678 0.1371 0.2223
O 0.0891 0.1767 0.8255
O 0.2913 0.5808 0.8144
O 0.3167 0.6340 0.4582
O 0.6833 0.3660 0.5418
O 0.7087 0.4192 0.1856
O 0.9109 0.8233 0.1745
O 0.9322 0.8629 0.7777



! Zn2Ni2O5 (PBE with a Hubbard U, optimized geometry); values from VASP
! Total DFT energy (no corrections) (eV/atom): -4.3734
! SG: Pbam (55)
&SYSTEM
  ibrav = 0, nat = 18, ntyp = 3
/
ATOMIC_SPECIES
Zn 65.41 Zn.upf
Ni 58.69 Ni.upf
O 16.00 O.upf
CELL_PARAMETERS angstrom
5.2670 0.0000 0.0000
0.0000 10.1074 0.0000
0.0000 0.0000 3.6963
ATOMIC_POSITIONS crystal
Zn 0.2263 0.0987 0.0000
Zn 0.2737 0.5987 0.0000
Zn 0.7263 0.4013 0.0000
Zn 0.7737 0.9013 0.0000
Ni 0.2291 0.8623 0.5000
Ni 0.2709 0.3623 0.5000
Ni 0.7291 0.6377 0.5000
Ni 0.7709 0.1377 0.5000
O 0.0000 0.5000 0.5000
O 0.1476 0.1774 0.5000
O 0.1917 0.8976 0.0000
O 0.3083 0.3976 0.0000
O 0.3524 0.6774 0.5000
O 0.5000 0.0000 0.5000
O 0.6476 0.3226 0.5000
O 0.6917 0.6024 0.0000
O 0.8083 0.1024 0.0000
O 0.8524 0.8226 0.5000



! Zn6NiO6 (PBE with a Hubbard U, optimized geometry); values from VASP
! Total DFT energy (no corrections) (eV/atom): -4.0581
! SG: Pm-3 (200)
&SYSTEM
  ibrav = 0, nat = 13, ntyp = 3
/
ATOMIC_SPECIES
Zn 65.41 Zn.upf
Ni 58.69 Ni.upf
O 16.00 O.upf
CELL_PARAMETERS angstrom
5.7101 0.0000 0.0000
0.0000 5.7101 0.0000
0.0000 0.0000 5.7101
ATOMIC_POSITIONS crystal
Zn 0.0000 0.2491 0.5000
Zn 0.0000 0.7509 0.5000
Zn 0.2491 0.5000 0.0000
Zn 0.5000 0.0000 0.2491
Zn 0.5000 0.0000 0.7509
Zn 0.7509 0.5000 0.0000
Ni 0.0000 0.0000 0.0000
O 0.0000 0.5000 0.2523
O 0.0000 0.5000 0.7477
O 0.2523 0.0000 0.5000
O 0.5000 0.2523 0.0000
O 0.5000 0.7477 0.0000
O 0.7477 0.0000 0.5000



! ZnNiO3 (PBE with a Hubbard U, optimized geometry); values from VASP
! Total DFT energy (no corrections) (eV/atom): -3.4723
! SG: Pm-3m (221)
&SYSTEM
  ibrav = 0, nat = 5, ntyp = 3
/
ATOMIC_SPECIES
Zn 65.41 Zn.upf
Ni 58.69 Ni.upf
O 16.00 O.upf
CELL_PARAMETERS angstrom
3.7528 0.0000 0.0000
0.0000 3.7528 0.0000
0.0000 0.0000 3.7528
ATOMIC_POSITIONS crystal
Zn 0.0000 0.0000 0.0000
Ni 0.5000 0.5000 0.5000
O 0.0000 0.0000 0.5000
O 0.0000 0.5000 0.0000
O 0.5000 0.0000 0.0000



! Zn2Ni3O8 (PBE with a Hubbard U, optimized geometry); values from VASP
! Total DFT energy (no corrections) (eV/atom): -4.5476
! SG: P6_3mc (186)
&SYSTEM
  ibrav = 0, nat = 26, ntyp = 3
/
ATOMIC_SPECIES
Zn 65.41 Zn.upf
Ni 58.69 Ni.upf
O 16.00 O.upf
CELL_PARAMETERS angstrom
5.7744 0.0000 0.0000
-2.8872 5.0008 0.0000
0.0000 0.0000 9.1301
ATOMIC_POSITIONS crystal
Zn 0.3333 0.6667 0.0000
Zn 0.3333 0.6667 0.3818
Zn 0.6667 0.3333 0.5000
Zn 0.6667 0.3333 0.8818
Ni 0.1655 0.3309 0.7111
Ni 0.1655 0.8345 0.7111
Ni 0.3309 0.1655 0.2111
Ni 0.6691 0.8345 0.7111
Ni 0.8345 0.1655 0.2111
Ni 0.8345 0.6691 0.2111
O 0.0000 0.0000 0.3153
O 0.0000 0.0000 0.8153
O 0.0385 0.5192 0.8289
O 0.1551 0.3101 0.1048
O 0.1551 0.8449 0.1048
O 0.3101 0.1551 0.6048
O 0.3333 0.6667 0.6031
O 0.4808 0.5192 0.8289
O 0.4808 0.9615 0.8289
O 0.5192 0.0385 0.3289
O 0.5192 0.4808 0.3289
O 0.6667 0.3333 0.1031
O 0.6899 0.8449 0.1048
O 0.8449 0.1551 0.6048
O 0.8449 0.6899 0.6048
O 0.9615 0.4808 0.3289



! ZnNiO2 (PBE with a Hubbard U, optimized geometry); values from VASP
! Total DFT energy (no corrections) (eV/atom): -4.4421
! SG: P1 (1)
&SYSTEM
  ibrav = 0, nat = 8, ntyp = 3
/
ATOMIC_SPECIES
Zn 65.41 Zn.upf
Ni 58.69 Ni.upf
O 16.00 O.upf
CELL_PARAMETERS angstrom
3.2191 0.0000 0.0000
-0.3258 5.3006 0.0000
-1.3103 -1.2864 5.2634
ATOMIC_POSITIONS crystal
Zn 0.0000 0.0000 0.0000
Zn 0.4102 0.8848 0.4509
Ni 0.6256 0.4642 0.0271
Ni 0.8253 0.4088 0.5611
O 0.0819 0.6320 0.8905
O 0.5852 0.1570 0.2320
O 0.6723 0.1663 0.7420
O 0.8685 0.6702 0.3824



! ZnNiO2 (PBE with a Hubbard U, optimized geometry); values from VASP
! Total DFT energy (no corrections) (eV/atom): -4.3853
! SG: Amm2 (38)
&SYSTEM
  ibrav = 0, nat = 8, ntyp = 3
/
ATOMIC_SPECIES
Zn 65.41 Zn.upf
Ni 58.69 Ni.upf
O 16.00 O.upf
CELL_PARAMETERS angstrom
3.0641 0.0000 0.0000
0.0000 2.8564 0.0000
0.0000 0.0000 10.0123
ATOMIC_POSITIONS crystal
Zn 0.0000 0.0000 0.0000
Zn 0.0000 0.5000 0.5000
Ni 0.5000 0.0000 0.7585
Ni 0.5000 0.5000 0.2585
O 0.0000 0.0000 0.3539
O 0.0000 0.5000 0.8539
O 0.5000 0.0000 0.1201
O 0.5000 0.5000 0.6201



! ZrNiO2 (PBE with a Hubbard U, optimized geometry); values from VASP
! Total DFT energy (no corrections) (eV/atom): -6.7190
! SG: I-42d (122)
&SYSTEM
  ibrav = 0, nat = 16, ntyp = 3
/
ATOMIC_SPECIES
Zr 91.22 Zr.upf
Ni 58.69 Ni.upf
O 16.00 O.upf
CELL_PARAMETERS angstrom
4.0991 0.0000 0.0000
0.0000 4.0991 0.0000
0.0000 0.0000 11.8452
ATOMIC_POSITIONS crystal
Zr 0.0000 0.0000 0.0000
Zr 0.0000 0.5000 0.2500
Zr 0.5000 0.0000 0.7500
Zr 0.5000 0.5000 0.5000
Ni 0.0000 0.0000 0.5000
Ni 0.0000 0.5000 0.7500
Ni 0.5000 0.0000 0.2500
Ni 0.5000 0.5000 0.0000
O 0.2494 0.2500 0.1250
O 0.2500 0.7494 0.3750
O 0.2500 0.7506 0.8750
O 0.2506 0.2500 0.6250
O 0.7494 0.7500 0.6250
O 0.7500 0.2494 0.8750
O 0.7500 0.2506 0.3750
O 0.7506 0.7500 0.1250



! Zr3NiO (PBE with a Hubbard U, optimized geometry); values from VASP
! Total DFT energy (no corrections) (eV/atom): -7.3171
! SG: Pm-3m (221)
&SYSTEM
  ibrav = 0, nat = 5, ntyp = 3
/
ATOMIC_SPECIES
Zr 91.22 Zr.upf
Ni 58.69 Ni.upf
O 16.00 O.upf
CELL_PARAMETERS angstrom
4.3966 0.0000 0.0000
0.0000 4.3966 0.0000
0.0000 0.0000 4.3966
ATOMIC_POSITIONS crystal
Zr 0.0000 0.0000 0.5000
Zr 0.0000 0.5000 0.0000
Zr 0.5000 0.0000 0.0000
Ni 0.5000 0.5000 0.5000
O 0.0000 0.0000 0.0000



! ZrNiO2 (PBE with a Hubbard U, optimized geometry); values from VASP
! Total DFT energy (no corrections) (eV/atom): -6.6538
! SG: R-3m (166)
&SYSTEM
  ibrav = 0, nat = 12, ntyp = 3
/
ATOMIC_SPECIES
Zr 91.22 Zr.upf
Ni 58.69 Ni.upf
O 16.00 O.upf
CELL_PARAMETERS angstrom
3.1581 0.0000 0.0000
-1.5790 2.7350 0.0000
0.0000 0.0000 18.3547
ATOMIC_POSITIONS crystal
Zr 0.0000 0.0000 0.0000
Zr 0.3333 0.6667 0.6667
Zr 0.6667 0.3333 0.3333
Ni 0.0000 0.0000 0.5000
Ni 0.3333 0.6667 0.1667
Ni 0.6667 0.3333 0.8333
O 0.0000 0.0000 0.1091
O 0.0000 0.0000 0.8909
O 0.3333 0.6667 0.5576
O 0.3333 0.6667 0.7758
O 0.6667 0.3333 0.2242
O 0.6667 0.3333 0.4424



! Zr2NiO (PBE with a Hubbard U, optimized geometry); values from VASP
! Total DFT energy (no corrections) (eV/atom): -6.9240
! SG: I-42d (122)
&SYSTEM
  ibrav = 0, nat = 16, ntyp = 3
/
ATOMIC_SPECIES
Zr 91.22 Zr.upf
Ni 58.69 Ni.upf
O 16.00 O.upf
CELL_PARAMETERS angstrom
5.2973 0.0000 0.0000
0.0000 5.2973 0.0000
0.0000 0.0000 10.3882
ATOMIC_POSITIONS crystal
Zr 0.1970 0.2500 0.1250
Zr 0.2500 0.6970 0.3750
Zr 0.2500 0.8030 0.8750
Zr 0.3030 0.2500 0.6250
Zr 0.6970 0.7500 0.6250
Zr 0.7500 0.1970 0.8750
Zr 0.7500 0.3030 0.3750
Zr 0.8030 0.7500 0.1250
Ni 0.0000 0.0000 0.5000
Ni 0.0000 0.5000 0.7500
Ni 0.5000 0.0000 0.2500
Ni 0.5000 0.5000 0.0000
O 0.0000 0.0000 0.0000
O 0.0000 0.5000 0.2500
O 0.5000 0.0000 0.7500
O 0.5000 0.5000 0.5000



! ZrNiO2 (PBE with a Hubbard U, optimized geometry); values from VASP
! Total DFT energy (no corrections) (eV/atom): -7.2587
! SG: P2_1/m (11)
&SYSTEM
  ibrav = 0, nat = 8, ntyp = 3
/
ATOMIC_SPECIES
Zr 91.22 Zr.upf
Ni 58.69 Ni.upf
O 16.00 O.upf
CELL_PARAMETERS angstrom
5.8270 0.0000 0.0000
0.0000 3.3312 0.0000
-1.7325 0.0000 5.6073
ATOMIC_POSITIONS crystal
Zr 0.0665 0.2500 0.2681
Zr 0.9335 0.7500 0.7319
Ni 0.4888 0.2500 0.6662
Ni 0.5112 0.7500 0.3338
O 0.1364 0.2500 0.6556
O 0.1854 0.7500 0.0939
O 0.8146 0.2500 0.9061
O 0.8636 0.7500 0.3444



! Zr4Ni2O (PBE with a Hubbard U, optimized geometry); values from VASP
! Total DFT energy (no corrections) (eV/atom): -6.9660
! SG: Fd-3m (227)
&SYSTEM
  ibrav = 0, nat = 28, ntyp = 3
/
ATOMIC_SPECIES
Zr 91.22 Zr.upf
Ni 58.69 Ni.upf
O 16.00 O.upf
CELL_PARAMETERS angstrom
0.0000 6.1809 6.1809
6.1809 0.0000 6.1809
6.1809 6.1809 0.0000
ATOMIC_POSITIONS crystal
Zr 0.0000 0.0000 0.0000
Zr 0.0000 0.0000 0.5000
Zr 0.0000 0.5000 0.0000
Zr 0.1924 0.1924 0.5576
Zr 0.1924 0.5576 0.1924
Zr 0.1924 0.5576 0.5576
Zr 0.4424 0.4424 0.8076
Zr 0.4424 0.8076 0.4424
Zr 0.4424 0.8076 0.8076
Zr 0.5000 0.0000 0.0000
Zr 0.5576 0.1924 0.1924
Zr 0.5576 0.1924 0.5576
Zr 0.5576 0.5576 0.1924
Zr 0.8076 0.4424 0.4424
Zr 0.8076 0.4424 0.8076
Zr 0.8076 0.8076 0.4424
Ni 0.1428 0.7857 0.7857
Ni 0.2143 0.2143 0.2143
Ni 0.2143 0.2143 0.8572
Ni 0.2143 0.8572 0.2143
Ni 0.7857 0.1428 0.7857
Ni 0.7857 0.7857 0.1428
Ni 0.7857 0.7857 0.7857
Ni 0.8572 0.2143 0.2143
O 0.0000 0.5000 0.5000
O 0.5000 0.0000 0.5000
O 0.5000 0.5000 0.0000
O 0.5000 0.5000 0.5000



! ZrNiO2 (PBE with a Hubbard U, optimized geometry); values from VASP
! Total DFT energy (no corrections) (eV/atom): -7.2292
! SG: Cm (8)
&SYSTEM
  ibrav = 0, nat = 16, ntyp = 3
/
ATOMIC_SPECIES
Zr 91.22 Zr.upf
Ni 58.69 Ni.upf
O 16.00 O.upf
CELL_PARAMETERS angstrom
10.9098 0.0000 0.0000
0.0000 3.2295 0.0000
-1.1727 0.0000 6.3954
ATOMIC_POSITIONS crystal
Zr 0.0000 0.0000 0.0000
Zr 0.0526 0.5000 0.4787
Zr 0.5000 0.5000 0.0000
Zr 0.5526 0.0000 0.4787
Ni 0.2758 0.5000 0.1104
Ni 0.2963 0.0000 0.8198
Ni 0.7758 0.0000 0.1104
Ni 0.7963 0.5000 0.8198
O 0.1004 0.5000 0.1647
O 0.1687 0.0000 0.5635
O 0.4413 0.5000 0.3208
O 0.4843 0.0000 0.7651
O 0.6004 0.0000 0.1647
O 0.6687 0.5000 0.5635
O 0.9413 0.0000 0.3208
O 0.9843 0.5000 0.7651



! Zr6Ni2O (PBE with a Hubbard U, optimized geometry); values from VASP
! Total DFT energy (no corrections) (eV/atom): -7.2897
! SG: C2/m (12)
&SYSTEM
  ibrav = 0, nat = 9, ntyp = 3
/
ATOMIC_SPECIES
Zr 91.22 Zr.upf
Ni 58.69 Ni.upf
O 16.00 O.upf
CELL_PARAMETERS angstrom
5.4171 -1.6567 0.0000
5.4171 1.6567 0.0000
-0.1912 0.0000 9.0192
ATOMIC_POSITIONS crystal
Zr 0.0742 0.0742 0.2459
Zr 0.3663 0.3663 0.0589
Zr 0.3659 0.3659 0.4445
Zr 0.6341 0.6341 0.5555
Zr 0.6337 0.6337 0.9411
Zr 0.9258 0.9258 0.7541
Ni 0.2350 0.2350 0.7505
Ni 0.7650 0.7650 0.2495
O 0.0000 0.0000 0.0000



! Zr2NiO (PBE with a Hubbard U, optimized geometry); values from VASP
! Total DFT energy (no corrections) (eV/atom): -6.6215
! SG: R-3m (166)
&SYSTEM
  ibrav = 0, nat = 12, ntyp = 3
/
ATOMIC_SPECIES
Zr 91.22 Zr.upf
Ni 58.69 Ni.upf
O 16.00 O.upf
CELL_PARAMETERS angstrom
2.9959 0.0000 0.0000
-1.4979 2.5945 0.0000
0.0000 0.0000 24.0297
ATOMIC_POSITIONS crystal
Zr 0.0000 0.0000 0.1008
Zr 0.0000 0.0000 0.8992
Zr 0.3333 0.6667 0.5658
Zr 0.3333 0.6667 0.7675
Zr 0.6667 0.3333 0.2325
Zr 0.6667 0.3333 0.4342
Ni 0.0000 0.0000 0.0000
Ni 0.3333 0.6667 0.6667
Ni 0.6667 0.3333 0.3333
O 0.0000 0.0000 0.5000
O 0.3333 0.6667 0.1667
O 0.6667 0.3333 0.8333



! ZrNiO2 (PBE with a Hubbard U, optimized geometry); values from VASP
! Total DFT energy (no corrections) (eV/atom): -6.6136
! SG: Fm-3m (225)
&SYSTEM
  ibrav = 0, nat = 16, ntyp = 3
/
ATOMIC_SPECIES
Zr 91.22 Zr.upf
Ni 58.69 Ni.upf
O 16.00 O.upf
CELL_PARAMETERS angstrom
5.4284 0.0000 0.0000
0.0000 5.4284 0.0000
0.0000 0.0000 5.4284
ATOMIC_POSITIONS crystal
Zr 0.0000 0.0000 0.0000
Zr 0.0000 0.5000 0.5000
Zr 0.5000 0.0000 0.5000
Zr 0.5000 0.5000 0.0000
Ni 0.0000 0.0000 0.5000
Ni 0.0000 0.5000 0.0000
Ni 0.5000 0.0000 0.0000
Ni 0.5000 0.5000 0.5000
O 0.2500 0.2500 0.2500
O 0.2500 0.2500 0.7500
O 0.2500 0.7500 0.2500
O 0.2500 0.7500 0.7500
O 0.7500 0.2500 0.2500
O 0.7500 0.2500 0.7500
O 0.7500 0.7500 0.2500
O 0.7500 0.7500 0.7500



! ZrNi2O4 (PBE with a Hubbard U, optimized geometry); values from VASP
! Total DFT energy (no corrections) (eV/atom): -6.6945
! SG: Fdd2 (43)
&SYSTEM
  ibrav = 0, nat = 14, ntyp = 3
/
ATOMIC_SPECIES
Zr 91.22 Zr.upf
Ni 58.69 Ni.upf
O 16.00 O.upf
CELL_PARAMETERS angstrom
0.0000 5.5002 2.9617
5.0143 0.0000 2.9617
5.0143 5.5002 0.0000
ATOMIC_POSITIONS crystal
Zr 0.0000 0.0000 0.0000
Zr 0.2500 0.2500 0.2500
Ni 0.2648 0.7203 0.6964
Ni 0.5536 0.9314 0.9852
Ni 0.7203 0.2648 0.3186
Ni 0.9314 0.5536 0.5297
O 0.1825 0.2920 0.9849
O 0.2154 0.8125 0.4185
O 0.2651 0.7094 0.0675
O 0.2920 0.1825 0.5406
O 0.6964 0.8315 0.4375
O 0.7094 0.2651 0.9580
O 0.8125 0.2154 0.5536
O 0.8315 0.6964 0.0346



! ZrNiO2 (PBE with a Hubbard U, optimized geometry); values from VASP
! Total DFT energy (no corrections) (eV/atom): -7.1153
! SG: R-3m (166)
&SYSTEM
  ibrav = 0, nat = 12, ntyp = 3
/
ATOMIC_SPECIES
Zr 91.22 Zr.upf
Ni 58.69 Ni.upf
O 16.00 O.upf
CELL_PARAMETERS angstrom
3.4346 0.0000 0.0000
-1.7173 2.9745 0.0000
0.0000 0.0000 16.7051
ATOMIC_POSITIONS crystal
Zr 0.0000 0.0000 0.0000
Zr 0.3333 0.6667 0.6667
Zr 0.6667 0.3333 0.3333
Ni 0.0000 0.0000 0.5000
Ni 0.3333 0.6667 0.1667
Ni 0.6667 0.3333 0.8333
O 0.0000 0.0000 0.3859
O 0.0000 0.0000 0.6141
O 0.3333 0.6667 0.0526
O 0.3333 0.6667 0.2807
O 0.6667 0.3333 0.7193
O 0.6667 0.3333 0.9474